(1)
This record from Alexandria via LeMat-Bulk describes Ca9Nb2Ga10Si6O42 at its PBEsol-relaxed geometry. The functional is meta-GGA SCAN.

- uncorrected energy (Ha/atom) = -0.441
- formation energy (no corrections) (eV per formula unit) = -189.54
- calculated volume (Å³/atom) = 12.19

Cell: 9.4720 9.4720 9.4720 Å, 94.52 94.52 94.52°
Atoms (fractional coordinates):
Ca (0.1728, 0.6115, 0.2157)
Ca (0.2157, 0.1728, 0.6115)
Ca (0.2954, 0.8731, 0.8586)
Ca (0.5291, 0.9522, 0.5337)
Ca (0.5337, 0.5291, 0.9521)
Ca (0.6115, 0.2157, 0.1728)
Ca (0.8586, 0.2954, 0.8731)
Ca (0.8731, 0.8586, 0.2954)
Ca (0.9521, 0.5337, 0.5291)
Nb (0.0045, 0.0045, 0.0045)
Nb (0.3353, 0.3353, 0.3353)
Ga (0.2524, 0.2562, 0.9969)
Ga (0.2562, 0.9969, 0.2524)
Ga (0.3501, 0.5801, 0.5953)
Ga (0.5801, 0.5953, 0.3501)
Ga (0.5953, 0.3501, 0.5801)
Ga (0.6607, 0.6607, 0.6607)
Ga (0.6740, 0.9274, 0.9168)
Ga (0.9168, 0.6739, 0.9274)
Ga (0.9274, 0.9168, 0.6739)
Ga (0.9969, 0.2524, 0.2562)
Si (0.1590, 0.8125, 0.4884)
Si (0.1782, 0.5332, 0.8559)
Si (0.4884, 0.1590, 0.8125)
Si (0.5332, 0.8559, 0.1782)
Si (0.8125, 0.4884, 0.1590)
Si (0.8559, 0.1782, 0.5332)
O (0.0503, 0.4425, 0.7536)
O (0.0504, 0.8914, 0.8272)
O (0.0610, 0.2050, 0.9735)
O (0.1062, 0.6359, 0.9747)
O (0.1487, 0.3742, 0.2293)
O (0.1521, 0.8420, 0.3175)
O (0.1860, 0.6430, 0.4874)
O (0.2050, 0.9735, 0.0610)
O (0.2293, 0.1487, 0.3742)
O (0.2664, 0.9234, 0.5917)
O (0.2850, 0.6363, 0.7712)
O (0.2881, 0.4397, 0.9459)
O (0.2957, 0.3902, 0.5318)
O (0.3175, 0.1521, 0.8420)
O (0.3742, 0.2293, 0.1487)
O (0.3902, 0.5318, 0.2957)
O (0.4397, 0.9459, 0.2881)
O (0.4425, 0.7536, 0.0503)
O (0.4874, 0.1860, 0.6430)
O (0.4939, 0.7042, 0.5399)
O (0.5180, 0.9888, 0.8136)
O (0.5318, 0.2957, 0.3902)
O (0.5399, 0.4939, 0.7042)
O (0.5917, 0.2664, 0.9234)
O (0.6363, 0.7712, 0.2850)
O (0.6359, 0.9747, 0.1062)
O (0.6430, 0.4874, 0.1860)
O (0.6460, 0.7358, 0.8619)
O (0.7042, 0.5399, 0.4939)
O (0.7358, 0.8619, 0.6460)
O (0.7536, 0.0503, 0.4425)
O (0.7712, 0.2850, 0.6363)
O (0.8136, 0.5180, 0.9888)
O (0.8272, 0.0504, 0.8914)
O (0.8420, 0.3175, 0.1521)
O (0.8619, 0.6460, 0.7358)
O (0.8914, 0.8272, 0.0504)
O (0.9234, 0.5917, 0.2664)
O (0.9459, 0.2881, 0.4397)
O (0.9735, 0.0610, 0.2050)
O (0.9747, 0.1062, 0.6359)
O (0.9888, 0.8136, 0.5179)

(2)
This record from Alexandria via LeMat-Bulk describes InMo at its PBEsol-relaxed geometry. The functional is meta-GGA SCAN.

- polymorph energy (0 for the lowest one) (eV/atom) = 0.401
- uncorrected energy (Ha/atom) = -1.232
- energy of formation from the pure elements (eV per atom) = 0.625
- calculated volume (Å³/atom) = 17.39

Cell: 3.2643 3.2643 3.2643 Å, 90.00 90.00 90.00°
Atoms (fractional coordinates):
In (0.0000, 0.0000, 0.0000)
Mo (0.5000, 0.5000, 0.5000)

Which formula does entry 2 have?
InMo

Which value of calculated volume does entry 2 give?
17.39 Å³/atom

Which of these has the lowest calculated volume?
Ca9Nb2Ga10Si6O42

The lowest calculated volume belongs to which entry?
Ca9Nb2Ga10Si6O42